Below is an optimized crystal structure of NbCoH2O, with properties calculated at the PBE+U level.

Properties
Fermi-level density of states: 0.4914 states/eV/atom
Raw total energy: -27.6 eV/cell
Space group: No. 123

```
NbCoH2O
1.0
-2.195 -0.926 -2.766
3.079 -1.762 -1.854
-0.789 -3.144 1.679
Co H Nb O
1 2 1 1
direct
0.500 0.500 0.500 Co
0.000 0.000 0.500 H
0.500 0.000 0.000 H
0.000 0.000 0.000 Nb
0.000 0.500 0.000 O
```